First-principles (PBE) data for a geometry-optimized Y2MgZn structure, as listed in the Alexandria database.

Computed properties:
Magnetic moment ... 0.00 μB/f.u.
Formation enthalpy at 0 K ... -0.070 eV per atom
Calculated volume ... 27.3 A^3/atom
DFT total energy ... -48.23 eV for the cell shown
Energy above the lowest structure with this stoichiometry ... 0.162 eV per atom

```
Y2MgZn
1.0
3.5962 0.0000 0.0000
-1.7981 3.1144 0.0000
0.0000 0.0000 29.2179
Y Mg Zn
6 3 3
direct
0.0000 0.0000 0.2424
0.0000 0.0000 0.7576
0.3333 0.6667 0.4243
0.3333 0.6667 0.9090
0.6667 0.3333 0.0910
0.6667 0.3333 0.5757
0.0000 0.0000 0.0000
0.3333 0.6667 0.6667
0.6667 0.3333 0.3333
0.0000 0.0000 0.5000
0.3333 0.6667 0.1667
0.6667 0.3333 0.8333
```